# BeCrCu | Alexandria | PBE | optimized geometry
data_BeCrCu
_chemical_formula_sum 'Be1 Cr1 Cu1'
_symmetry_space_group_name_H-M 'P 1'
_symmetry_Int_Tables_number 1
_cell_length_a 3.963
_cell_length_b 3.963
_cell_length_c 2.445
_cell_angle_alpha 90.00
_cell_angle_beta 90.00
_cell_angle_gamma 120.00
loop_
_symmetry_equiv_pos_as_xyz
'x,y,z'
loop_
_atom_site_label
_atom_site_type_symbol
_atom_site_fract_x
_atom_site_fract_y
_atom_site_fract_z
Cu1 Cu 0.333 0.667 0.833
Cr1 Cr 0.667 0.333 0.333
Be1 Be 0.000 0.000 0.834
# ΔH_f (0 K) = 0.24 eV per atom
# E = -5.580 eV/atom
# excess energy over the best structure of this formula in the dataset = 0.63 eV per formula unit